A plane-wave DFT calculation with PBE-GGA was carried out for crystalline SmTaTi2O8 at its relaxed geometry.

```
12
Lattice="-2.806 -0.846 3.920 -1.334 -4.575 -1.116 4.896 -2.899 3.578" Properties=species:S:1:pos:R:3 pbc="T T T"
Sm 2.448 -1.450 1.789
Ta 0.000 0.000 0.000
Ti 1.771 -4.519 3.864
Ti -1.014 -3.801 2.518
O -0.576 -4.430 0.743
O -2.798 -4.093 2.212
O -1.424 -2.283 3.643
O 1.332 -3.890 5.638
O 3.554 -4.228 4.169
O 2.180 -6.037 2.738
O -0.412 -5.084 3.644
O 1.168 -3.236 2.738
```

## Properties
total magnetic moment = 0.0 μB per formula unit
raw formation energy = -3.031 eV per atom
VASP energy = -9.0333 eV/atom